[1]
NaTlSe2 | SCAN | PBEsol geometry

Values from the calculation:
As for the formation energy from raw total energies: -0.6368 eV/atom. The value obtained for the total energy is -119.28 eV/f.u. As for the space group: P-6m2.

Unit cell a=4.652 b=4.652 c=5.919 alpha=90.00 beta=90.00 gamma=120.00
Positions (direct):
Na 0.000 0.000 0.000
Tl 0.333 0.667 0.500
Se 0.667 0.333 0.212
Se 0.667 0.333 0.788



[2]
NaTl2Se2 | SCAN | PBEsol geometry

Values from the calculation:
As for the formation energy from raw total energies: -0.4176 eV/atom. The value obtained for the total energy is -191.18 eV/f.u. As for the space group: I4/mmm.

Unit cell a=6.127 b=6.127 c=6.127 alpha=126.49 beta=126.49 gamma=79.09
Positions (direct):
Na 0.000 0.000 0.000
Tl 0.345 0.345 0.000
Tl 0.655 0.655 0.000
Se 0.250 0.750 0.500
Se 0.750 0.250 0.500



[3]
Na3V5Se10 | SCAN | PBEsol geometry

Values from the calculation:
As for the formation energy from raw total energies: -0.9671 eV/atom. The value obtained for the total energy is -318.28 eV/f.u. As for the space group: P1.

Unit cell a=5.919 b=8.462 c=8.967 alpha=117.49 beta=96.45 gamma=103.10
Positions (direct):
Na 0.000 0.000 0.000
Na 0.125 0.384 0.392
Na 0.396 0.772 0.791
V 0.157 0.071 0.578
V 0.379 0.506 0.015
V 0.526 0.887 0.395
V 0.688 0.266 0.770
V 0.910 0.702 0.213
Se 0.091 0.390 0.721
Se 0.172 0.758 0.480
Se 0.282 0.802 0.111
Se 0.371 0.165 0.881
Se 0.490 0.209 0.493
Se 0.572 0.565 0.296
Se 0.705 0.608 0.908
Se 0.782 0.973 0.677
Se 0.884 0.013 0.311
Se 0.976 0.383 0.066



[4]
NaW3Se | SCAN | PBEsol geometry

Values from the calculation:
As for the formation energy from raw total energies: 1.9020 eV/atom. The value obtained for the total energy is -223.85 eV/f.u. As for the space group: Pm-3m.

Unit cell a=4.627 b=4.627 c=4.627 alpha=90.00 beta=90.00 gamma=90.00
Positions (direct):
Na 0.000 0.000 0.000
W 0.000 0.500 0.500
W 0.500 0.000 0.500
W 0.500 0.500 0.000
Se 0.500 0.500 0.500



[5]
NaYSe2 | SCAN | PBEsol geometry

Values from the calculation:
As for the formation energy from raw total energies: -1.6827 eV/atom. The value obtained for the total energy is -78.95 eV/f.u. As for the space group: I-42d.

Unit cell a=6.774 b=6.774 c=6.774 alpha=115.24 beta=115.24 gamma=98.46
Positions (direct):
Na 0.000 0.000 0.000
Na 0.750 0.250 0.500
Y 0.250 0.750 0.500
Y 0.500 0.500 0.000
Se 0.143 0.625 0.018
Se 0.375 0.393 0.518
Se 0.607 0.125 0.982
Se 0.875 0.857 0.482



[6]
Na2Zn2Se3 | SCAN | PBEsol geometry

Values from the calculation:
For the energy above the lowest structure with this stoichiometry, the calculation gives 0 kJ/mol of formula units. As for the formation energy from raw total energies: -0.9957 eV/atom. The value obtained for the total energy is -102.67 eV/f.u. As for the space group: C2/c.

Unit cell a=10.205 b=10.205 c=6.948 alpha=109.77 beta=109.77 gamma=83.70
Positions (direct):
Na 0.067 0.933 0.750
Na 0.218 0.782 0.250
Na 0.306 0.475 0.357
Na 0.475 0.306 0.857
Na 0.525 0.694 0.143
Na 0.694 0.525 0.643
Na 0.782 0.218 0.750
Na 0.933 0.067 0.250
Zn 0.047 0.581 0.737
Zn 0.138 0.295 0.799
Zn 0.295 0.138 0.299
Zn 0.419 0.953 0.763
Zn 0.581 0.047 0.237
Zn 0.705 0.862 0.701
Zn 0.862 0.705 0.201
Zn 0.953 0.419 0.263
Se 0.080 0.227 0.073
Se 0.082 0.649 0.448
Se 0.227 0.080 0.573
Se 0.271 0.510 0.940
Se 0.351 0.918 0.052
Se 0.490 0.729 0.560
Se 0.510 0.271 0.440
Se 0.649 0.082 0.948
Se 0.729 0.490 0.060
Se 0.773 0.920 0.427
Se 0.918 0.351 0.552
Se 0.920 0.773 0.927



[7]
NaZn3Se | SCAN | PBEsol geometry

Values from the calculation:
As for the formation energy from raw total energies: 0.4460 eV/atom. The value obtained for the total energy is -62.61 eV/f.u. As for the space group: Pm-3m.

Unit cell a=5.000 b=5.000 c=5.000 alpha=90.00 beta=90.00 gamma=90.00
Positions (direct):
Na 0.000 0.000 0.000
Zn 0.000 0.500 0.500
Zn 0.500 0.000 0.500
Zn 0.500 0.500 0.000
Se 0.500 0.500 0.500



[8]
Na2Zn3Se4 | SCAN | PBEsol geometry

Values from the calculation:
As for the formation energy from raw total energies: -0.8757 eV/atom. The value obtained for the total energy is -137.17 eV/f.u. As for the space group: Ibam.

Unit cell a=8.925 b=8.925 c=8.925 alpha=140.26 beta=110.29 gamma=83.35
Positions (direct):
Na 0.125 0.241 0.366
Na 0.375 0.741 0.116
Na 0.625 0.259 0.884
Na 0.875 0.759 0.634
Zn 0.031 0.250 0.781
Zn 0.250 0.750 0.500
Zn 0.469 0.250 0.219
Zn 0.531 0.750 0.781
Zn 0.750 0.250 0.500
Zn 0.969 0.750 0.219
Se 0.007 0.405 0.139
Se 0.234 0.095 0.602
Se 0.266 0.868 0.861
Se 0.493 0.632 0.398
Se 0.507 0.368 0.602
Se 0.734 0.132 0.139
Se 0.766 0.905 0.398
Se 0.993 0.595 0.861



[9]
Na2Zn2Se3 | SCAN | PBEsol geometry

Values from the calculation:
For the energy above the lowest structure with this stoichiometry, the calculation gives 30 kJ/mol of formula units. As for the formation energy from raw total energies: -0.9509 eV/atom. The value obtained for the total energy is -102.35 eV/f.u. As for the space group: P4_32_12.

Unit cell a=7.249 b=7.249 c=12.015 alpha=90.00 beta=90.00 gamma=90.00
Positions (direct):
Na 0.062 0.345 0.304
Na 0.155 0.562 0.054
Na 0.345 0.062 0.696
Na 0.438 0.845 0.446
Na 0.562 0.155 0.946
Na 0.655 0.938 0.196
Na 0.845 0.438 0.554
Na 0.938 0.655 0.804
Zn 0.027 0.192 0.884
Zn 0.192 0.027 0.116
Zn 0.308 0.527 0.634
Zn 0.473 0.692 0.866
Zn 0.527 0.308 0.366
Zn 0.692 0.473 0.134
Zn 0.808 0.973 0.616
Zn 0.973 0.808 0.384
Se 0.083 0.777 0.578
Se 0.214 0.786 0.250
Se 0.223 0.917 0.922
Se 0.277 0.417 0.828
Se 0.286 0.286 0.500
Se 0.417 0.277 0.172
Se 0.583 0.723 0.672
Se 0.714 0.714 0.000
Se 0.723 0.583 0.328
Se 0.777 0.083 0.422
Se 0.786 0.214 0.750
Se 0.917 0.223 0.078



[10]
NaZn2Se2 | SCAN | PBEsol geometry

Values from the calculation:
As for the formation energy from raw total energies: -0.4754 eV/atom. The value obtained for the total energy is -73.78 eV/f.u. As for the space group: I4/mmm.

Unit cell a=7.053 b=7.053 c=7.053 alpha=144.59 beta=144.59 gamma=50.95
Positions (direct):
Na 0.000 0.000 0.000
Zn 0.250 0.750 0.500
Zn 0.750 0.250 0.500
Se 0.359 0.359 0.000
Se 0.641 0.641 0.000



[11]
NaSi68 | SCAN | PBEsol geometry

Values from the calculation:
As for the formation energy from raw total energies: 0.0825 eV/atom. The value obtained for the total energy is -679.60 eV/f.u. As for the space group: R3m.

Unit cell a=17.946 b=17.946 c=17.946 alpha=33.55 beta=33.55 gamma=33.55
Positions (direct):
Na 0.000 0.000 0.000
Si 0.061 0.685 0.685
Si 0.070 0.070 0.676
Si 0.070 0.676 0.070
Si 0.079 0.079 0.079
Si 0.112 0.112 0.480
Si 0.112 0.480 0.112
Si 0.117 0.493 0.887
Si 0.117 0.887 0.493
Si 0.125 0.125 0.125
Si 0.176 0.570 0.570
Si 0.184 0.184 0.561
Si 0.184 0.561 0.184
Si 0.190 0.190 0.814
Si 0.190 0.814 0.190
Si 0.199 0.805 0.805
Si 0.250 0.250 0.250
Si 0.258 0.488 0.882
Si 0.258 0.882 0.488
Si 0.263 0.263 0.895
Si 0.263 0.895 0.263
Si 0.296 0.296 0.296
Si 0.305 0.305 0.699
Si 0.305 0.699 0.305
Si 0.314 0.690 0.690
Si 0.381 0.758 0.988
Si 0.381 0.988 0.758
Si 0.387 0.618 0.993
Si 0.387 0.993 0.618
Si 0.394 0.764 0.764
Si 0.480 0.112 0.112
Si 0.488 0.258 0.882
Si 0.488 0.882 0.258
Si 0.493 0.117 0.887
Si 0.493 0.887 0.117
Si 0.561 0.184 0.184
Si 0.570 0.176 0.570
Si 0.570 0.570 0.176
Si 0.579 0.579 0.579
Si 0.612 0.612 0.981
Si 0.612 0.981 0.612
Si 0.618 0.387 0.993
Si 0.618 0.993 0.387
Si 0.625 0.625 0.625
Si 0.676 0.070 0.070
Si 0.685 0.061 0.685
Si 0.685 0.685 0.061
Si 0.690 0.314 0.690
Si 0.690 0.690 0.314
Si 0.699 0.305 0.305
Si 0.750 0.750 0.750
Si 0.758 0.381 0.988
Si 0.758 0.988 0.381
Si 0.764 0.394 0.764
Si 0.764 0.764 0.394
Si 0.796 0.796 0.796
Si 0.805 0.199 0.805
Si 0.805 0.805 0.199
Si 0.814 0.190 0.190
Si 0.882 0.258 0.488
Si 0.882 0.488 0.258
Si 0.887 0.117 0.493
Si 0.887 0.493 0.117
Si 0.895 0.263 0.263
Si 0.981 0.612 0.612
Si 0.988 0.381 0.758
Si 0.988 0.758 0.381
Si 0.993 0.387 0.618
Si 0.993 0.618 0.387



[12]
Na3Si34 | SCAN | PBEsol geometry

Values from the calculation:
As for the formation energy from raw total energies: 0.0476 eV/atom. The value obtained for the total energy is -351.42 eV/f.u. As for the space group: R-3m.

Unit cell a=10.358 b=10.358 c=10.358 alpha=59.93 beta=59.93 gamma=59.93
Positions (direct):
Na 0.000 0.000 0.000
Na 0.375 0.375 0.375
Na 0.625 0.625 0.625
Si 0.005 0.237 0.629
Si 0.005 0.629 0.237
Si 0.006 0.629 0.629
Si 0.125 0.125 0.125
Si 0.153 0.782 0.782
Si 0.218 0.218 0.218
Si 0.218 0.218 0.847
Si 0.218 0.847 0.218
Si 0.237 0.005 0.629
Si 0.237 0.629 0.005
Si 0.237 0.629 0.629
Si 0.371 0.371 0.763
Si 0.371 0.371 0.994
Si 0.371 0.763 0.371
Si 0.371 0.763 0.995
Si 0.371 0.994 0.371
Si 0.371 0.995 0.763
Si 0.629 0.005 0.237
Si 0.629 0.006 0.629
Si 0.629 0.237 0.005
Si 0.629 0.237 0.629
Si 0.629 0.629 0.006
Si 0.629 0.629 0.237
Si 0.763 0.371 0.371
Si 0.763 0.371 0.995
Si 0.763 0.995 0.371
Si 0.782 0.153 0.782
Si 0.782 0.782 0.153
Si 0.782 0.782 0.782
Si 0.847 0.218 0.218
Si 0.875 0.875 0.875
Si 0.994 0.371 0.371
Si 0.995 0.371 0.763
Si 0.995 0.763 0.371



Repeat the seventh record exactly.
NaZn3Se | SCAN | PBEsol geometry

Values from the calculation:
As for the formation energy from raw total energies: 0.4460 eV/atom. The value obtained for the total energy is -62.61 eV/f.u. As for the space group: Pm-3m.

Unit cell a=5.000 b=5.000 c=5.000 alpha=90.00 beta=90.00 gamma=90.00
Positions (direct):
Na 0.000 0.000 0.000
Zn 0.000 0.500 0.500
Zn 0.500 0.000 0.500
Zn 0.500 0.500 0.000
Se 0.500 0.500 0.500